Density functional theory data (PBE-GGA) for an optimized crystal structure of CaPm6Pr2.

The structure in CIF format:
```
data_CaPm6Pr2
_chemical_formula_sum 'Ca2 Pm12 Pr4'
_space_group_name_H-M_alt 'P -1'
_space_group_IT_number 2
_cell_length_a 7.415
_cell_length_b 9.201
_cell_length_c 9.795
_cell_angle_alpha 103.19
_cell_angle_beta 100.90
_cell_angle_gamma 90.06
loop_
_space_group_symop_operation_xyz
'x,y,z'
'-x,-y,-z'
loop_
_atom_site_label
_atom_site_type_symbol
_atom_site_fract_x
_atom_site_fract_y
_atom_site_fract_z
_atom_site_occupancy
Ca1 Ca 0.213 0.334 0.354 1
Pm1 Pm 0.045 0.328 0.688 1
Pm2 Pm 0.086 0.003 0.836 1
Pm3 Pm 0.122 0.667 0.984 1
Pm4 Pm 0.249 0.991 0.503 1
Pm5 Pm 0.286 0.670 0.651 1
Pm6 Pm 0.452 0.671 0.315 1
Pr1 Pr 0.379 0.334 0.016 1
Pr2 Pr 0.420 0.997 0.166 1
```

Results
Volume: 35.46 Å³/atom
E_tot: -39.8 eV/f.u.